[1]
The following is a PBE calculation of crystalline Si2HPd8 at its relaxed geometry, from Alexandria.

Lattice parameters (Å, degrees): 13.9328 4.2236 5.4161 90.00 102.61 90.00
Closest atoms and distances in Å follow each position.
Space group C2/m (No. 12)
One atom of each set of equivalent atoms:
Si 0.1502 0.0000 0.1518  7 Pd 2.36-2.56
H 0.0000 0.5000 0.5000  2 Pd 1.69
Pd 0.0306 0.0000 0.7700  1 Si 2.36, 2 H 2.55
Pd 0.0935 0.5000 0.3465  1 H 1.69
Pd 0.1764 0.5000 0.9108  3 Si 2.51-2.55, 2 Pd 2.79
Pd 0.2047 0.0000 0.5963  1 Si 2.36

Calculated values
For the energy above the most stable polymorph in this dataset, the calculation gives 0.00 eV/f.u.


[2]
The following is a PBE calculation of crystalline Si2HPd8 at its relaxed geometry, from Alexandria.

Lattice parameters (Å, degrees): 2.9134 5.9856 9.3462 101.33 90.08 103.90
Closest atoms and distances in Å follow each position.
Space group P1 (No. 1)
One atom of each set of equivalent atoms:
Si 0.0000 0.0000 0.0000  6 Pd 2.32-2.43
Si 0.4853 0.9633 0.4348  6 Pd 2.32-2.43
H 0.3014 0.4816 0.2184  4 Pd 1.95-2.09
Pd 0.0826 0.1780 0.7973  1 Si 2.33
Pd 0.0887 0.1774 0.3018  1 H 2.08
Pd 0.3873 0.7849 0.6373  1 Si 2.33
Pd 0.3939 0.7856 0.1328  1 H 2.09
Pd 0.6639 0.3376 0.0686  1 H 1.95
Pd 0.6636 0.3399 0.5775  1 Si 2.32
Pd 0.8086 0.6234 0.8572  1 Si 2.32
Pd 0.8162 0.6255 0.3658  2 H 1.95-2.18

Calculated values
For the energy above the most stable polymorph in this dataset, the calculation gives 0.30 eV/f.u.


[3]
The following is a PBE calculation of crystalline Si2HPd at its relaxed geometry, from Alexandria.

Lattice parameters (Å, degrees): 4.0874 4.0874 14.0832 90.00 90.00 120.00
Closest atoms and distances in Å follow each position.
Space group R-3m (No. 166, hexagonal axes)
One atom of each set of equivalent atoms:
Si 0.0000 0.0000 0.1217  1 H 1.71
H 0.0000 0.0000 0.0000  2 Si 1.71
Pd 0.0000 0.0000 0.5000  6 Si 2.44

Calculated values
For the energy above the most stable polymorph in this dataset, the calculation gives 0.00 eV/f.u.


[4]
The following is a PBE calculation of crystalline SiH2Pd at its relaxed geometry, from Alexandria.

Lattice parameters (Å, degrees): 5.3409 5.3409 5.3409 90.00 90.00 90.00
Closest atoms and distances in Å follow each position.
Space group Fm-3m (No. 225)
One atom of each set of equivalent atoms:
Si 0.0000 0.0000 0.0000  8 H 2.31
H 0.2500 0.2500 0.2500  4 Pd 2.31, 4 Si 2.31
Pd 0.0000 0.0000 0.5000  8 H 2.31

Calculated values
For the energy above the most stable polymorph in this dataset, the calculation gives 1.37 eV/f.u.


[5]
The following is a PBE calculation of crystalline Si2HPd at its relaxed geometry, from Alexandria.

Lattice parameters (Å, degrees): 5.8315 5.8315 5.8315 90.00 90.00 90.00
Closest atoms and distances in Å follow each position.
Space group Fm-3m (No. 225)
One atom of each set of equivalent atoms:
Si 0.2500 0.2500 0.2500  4 H 2.53, 4 Pd 2.53
H 0.0000 0.0000 0.0000  8 Si 2.53
Pd 0.0000 0.0000 0.5000  8 Si 2.53

Calculated values
For the energy above the most stable polymorph in this dataset, the calculation gives 0.97 eV/f.u.


[6]
The following is a PBE calculation of crystalline Si2HPd at its relaxed geometry, from Alexandria.

Lattice parameters (Å, degrees): 4.2924 4.2924 11.9215 90.00 90.00 90.00
Closest atoms and distances in Å follow each position.
Space group I-42d (No. 122)
One atom of each set of equivalent atoms:
Si 0.1399 0.2500 0.1250  2 H 1.93
H 0.0000 0.0000 0.0000  4 Si 1.93
Pd 0.0000 0.0000 0.5000  4 Si 2.40

Calculated values
For the energy above the most stable polymorph in this dataset, the calculation gives 0.77 eV/f.u.


[7]
The following is a PBE calculation of crystalline Sm2SiHPd6 at its relaxed geometry, from Alexandria.

Lattice parameters (Å, degrees): 9.9463 5.7390 6.7746 90.00 119.57 90.00
Closest atoms and distances in Å follow each position.
Space group C2/m (No. 12)
One atom of each set of equivalent atoms:
Sm 0.2247 0.0000 0.1754  9 Pd 2.96-3.29
Si 0.0000 0.5000 0.0000  6 Pd 2.43-2.44
H 0.0000 0.0000 0.5000  6 Pd 2.02
Pd 0.0175 0.2505 0.3033  1 H 2.02
Pd 0.2324 0.0000 0.6952  1 H 2.02

Calculated values
The calculation puts the total energy at -5.68 eV/atom.


[8]
The following is a PBE calculation of crystalline SrSiHPd2 at its relaxed geometry, from Alexandria.

Lattice parameters (Å, degrees): 3.8247 11.4317 7.3880 90.00 90.00 90.00
Closest atoms and distances in Å follow each position.
Space group Cmcm (No. 63)
One atom of each set of equivalent atoms:
Sr 0.0000 0.0480 0.2500  4 H 2.71
Si 0.0000 0.2276 0.7500  6 Pd 2.49-2.58
H 0.0000 0.5000 0.0000  2 Pd 1.93
Pd 0.0000 0.3349 0.0567  1 H 1.93

Calculated values
The calculation puts the total energy at -4.87 eV/atom.